# PBE Mg2ScRu, relaxed
# Formation enthalpy at 0 K = 152.1 meV per atom
data_Mg2ScRu
_cell_length_a 3.008
_cell_length_b 3.008
_cell_length_c 29.347
_cell_angle_alpha 90.00
_cell_angle_beta 90.00
_cell_angle_gamma 120.00
_symmetry_space_group_name_H-M 'P 1'
_symmetry_Int_Tables_number 1
loop_
_symmetry_equiv_pos_as_xyz
'x,y,z'
loop_
_atom_site_label
_atom_site_fract_x
_atom_site_fract_y
_atom_site_fract_z
Mg1 0.000 0.000 0.238
Mg2 0.000 0.000 0.762
Mg3 0.333 0.667 0.428
Mg4 0.333 0.667 0.905
Mg5 0.667 0.333 0.095
Mg6 0.667 0.333 0.572
Sc1 0.000 0.000 0.000
Sc2 0.333 0.667 0.667
Sc3 0.667 0.333 0.333
Ru1 0.000 0.000 0.500
Ru2 0.333 0.667 0.167
Ru3 0.667 0.333 0.833

# PBE MgScRu2, relaxed
# Formation enthalpy at 0 K = -30.4 meV per atom
data_MgScRu2
_cell_length_a 2.892
_cell_length_b 4.436
_cell_length_c 5.281
_cell_angle_alpha 90.00
_cell_angle_beta 105.23
_cell_angle_gamma 90.00
_symmetry_space_group_name_H-M 'P 1'
_symmetry_Int_Tables_number 1
loop_
_symmetry_equiv_pos_as_xyz
'x,y,z'
loop_
_atom_site_label
_atom_site_fract_x
_atom_site_fract_y
_atom_site_fract_z
Mg1 0.000 0.000 0.000
Sc1 0.314 0.500 0.729
Ru1 0.560 0.000 0.471
Ru2 0.829 0.500 0.257

# PBE Mg2Sc2Ru, relaxed
# Formation enthalpy at 0 K = -333.3 meV per atom
# Distance to the lowest polymorph of the same formula = 0 meV/atom
data_Mg2Sc2Ru
_cell_length_a 3.246
_cell_length_b 3.246
_cell_length_c 19.747
_cell_angle_alpha 90.00
_cell_angle_beta 90.00
_cell_angle_gamma 90.00
_symmetry_space_group_name_H-M 'P 1'
_symmetry_Int_Tables_number 1
loop_
_symmetry_equiv_pos_as_xyz
'x,y,z'
loop_
_atom_site_label
_atom_site_fract_x
_atom_site_fract_y
_atom_site_fract_z
Mg1 0.000 0.000 0.197
Mg2 0.000 0.000 0.803
Mg3 0.500 0.500 0.303
Mg4 0.500 0.500 0.697
Sc1 0.000 0.000 0.422
Sc2 0.000 0.000 0.578
Sc3 0.500 0.500 0.078
Sc4 0.500 0.500 0.922
Ru1 0.000 0.000 0.000
Ru2 0.500 0.500 0.500